Entry 1:
The following is a PBE-GGA calculation of a relaxed structure of HgAsPt2, from Alexandria.

abc: 4.9170 2.9912 5.0514
angles: 81.60 90.00 90.00
Fractional positions:
As (0.0000, 0.4156, 0.4214)
Hg (0.5000, 0.7498, 0.7772)
Pt (0.0000, 0.0330, 0.0141)
Pt (0.5000, 0.3016, 0.2872)



Entry 2:
The following is a PBE-GGA calculation of a relaxed structure of Hg2AsPt, from Alexandria.

abc: 5.0551 3.8659 4.2747
angles: 89.89 90.00 90.00
Fractional positions:
As (0.5000, 0.7500, 0.7500)
Hg (0.0000, 0.0046, 0.0045)
Hg (0.0000, 0.4954, 0.4955)
Pt (0.5000, 0.2500, 0.2500)



Entry 3:
The following is a PBE-GGA calculation of a relaxed structure of Hg2AsPt, from Alexandria.

abc: 6.7048 6.7048 6.7048
angles: 154.55 137.59 50.11
Fractional positions:
As (0.3087, 0.8087, 0.5000)
Hg (0.0151, 0.0151, 0.0000)
Hg (0.6987, 0.1987, 0.5000)
Pt (0.4775, 0.4775, 0.0000)



Entry 4:
The following is a PBE-GGA calculation of a relaxed structure of HgAs2Pt, from Alexandria.

abc: 4.0377 4.6326 5.1407
angles: 67.63 90.00 90.00
Fractional positions:
As (0.0000, 0.9639, 0.9057)
As (0.0000, 0.5361, 0.5943)
Hg (0.5000, 0.2500, 0.2500)
Pt (0.5000, 0.7500, 0.7500)



Entry 5:
The following is a PBE-GGA calculation of a relaxed structure of Hg2AsPt, from Alexandria.

abc: 5.2366 5.2366 6.1226
angles: 70.93 70.93 36.85
Fractional positions:
As (0.1527, 0.1527, 0.2674)
Hg (0.9917, 0.9917, 0.9911)
Hg (0.8022, 0.8022, 0.6702)
Pt (0.5534, 0.5534, 0.5713)



Entry 6:
The following is a PBE-GGA calculation of a relaxed structure of HgAsPt2, from Alexandria.

abc: 5.3036 5.3036 5.1056
angles: 87.01 87.01 36.97
Fractional positions:
As (0.5688, 0.5688, 0.4042)
Hg (0.8041, 0.8041, 0.7282)
Pt (0.9226, 0.9226, 0.2149)
Pt (0.2044, 0.2044, 0.1527)



| no. | DFT formation energy (eV/atom) |
| --- | --- |
| 1 | 0.016 |
| 2 | 0.210 |
| 3 | 0.034 |
| 4 | -0.129 |
| 5 | -0.006 |
| 6 | -0.036 |